# Nd10TmSc6

A relaxed structure of Nd10TmSc6 (PBE-GGA, the Alexandria database).

Properties
Final energy ... -5.166 eV/atom

abc: 6.7448 9.5675 9.5675
angles: 120.00 90.00 90.00
Atoms (fractional coordinates):
Sc: 0.3310 0.0000 0.3571
Tm: 0.5000 0.0000 0.0000
Nd: 0.8222 0.2816 0.0000
Sc: 0.3310 0.3571 0.0000
Nd: 0.0000 0.3333 0.6667
Nd: 0.8222 0.7184 0.7184
Sc: 0.6690 0.0000 0.6429
Nd: 0.0000 0.6667 0.3333
Sc: 0.6690 0.6429 0.0000
Sc: 0.6690 0.3571 0.3571
Nd: 0.5000 0.6667 0.3333
Nd: 0.1778 0.2816 0.2816
Nd: 0.1778 0.7184 0.0000
Sc: 0.3310 0.6429 0.6429
Nd: 0.8222 0.0000 0.2816
Nd: 0.1778 0.0000 0.7184
Nd: 0.5000 0.3333 0.6667